(1)
AlPRuCl2 | GGA-PBEsol | relaxed

The structure belongs to space group P4/mmm (No. 123); the cell edges are 4.4102, 4.4102 and 4.9804 Å and the angles 90.00°, 90.00° and 90.00°. Symmetry generates all atoms from Al at (0.0000, 0.0000, 0.0000), P at (0.0000, 0.0000, 0.5000), Ru at (0.5000, 0.5000, 0.5000) and Cl at (0.0000, 0.5000, 0.0000).

Its formation energy from raw total energies is 0.577 eV/atom. Its density is 3.94 g/cm3. Its crystal system is tetragonal.

(2)
BaTaGa2W | GGA-PBEsol | relaxed

The structure belongs to space group P4/mmm (No. 123); the cell edges are 5.0292, 5.0292 and 4.8640 Å and the angles 90.00°, 90.00° and 90.00°. Symmetry generates all atoms from Ba at (0.0000, 0.0000, 0.0000), Ta at (0.5000, 0.5000, 0.0000), Ga at (0.0000, 0.5000, 0.5000) and W at (0.5000, 0.5000, 0.5000).

Its density is 8.66 g/cm3. The energy relative to the elements is 453 meV per atom. Its crystal system is tetragonal.

(3)
KCuTc2 | GGA-PBEsol | relaxed

The structure belongs to space group Cmmm (No. 65); the cell edges are 5.2166, 10.1381 and 2.4674 Å and the angles 90.00°, 90.00° and 90.00°. Symmetry generates all atoms from K at (0.0000, 0.0000, 0.0000), Cu at (0.0000, 0.5000, 0.0000) and Tc at (0.2500, 0.2500, 0.5000).

Its density is 7.60 g/cm3. The energy relative to the elements is 1223 meV per atom. Its crystal system is orthorhombic.

(4)
ZrCrOs2 | GGA-PBEsol | relaxed

The structure belongs to space group P4/mmm (No. 123); the cell edges are 2.9193, 2.9193 and 7.0081 Å and the angles 90.00°, 90.00° and 90.00°. Symmetry generates all atoms from Zr at (0.0000, 0.0000, 0.0000), Cr at (0.0000, 0.0000, 0.5000) and Os at (0.5000, 0.5000, 0.2922).

Its density is 14.56 g/cm3. The energy relative to the elements is -42 meV per atom. Its crystal system is tetragonal.

(5)
Ca2SbPd2 | GGA-PBEsol | relaxed

The structure belongs to space group P4/mbm (No. 127); the cell edges are 7.2703, 7.2703 and 4.1157 Å and the angles 90.00°, 90.00° and 90.00°. Symmetry generates all atoms from Ca at (0.1726, 0.3274, 0.0000), Sb at (0.0000, 0.0000, 0.5000) and Pd at (0.1337, 0.6337, 0.5000).

Its formation energy from raw total energies is -0.742 eV/atom. Its density is 6.33 g/cm3. Its crystal system is tetragonal.

(6)
SrFeSe2 | GGA-PBEsol | relaxed

The structure belongs to space group P4/mmm (No. 123); the cell edges are 4.8684, 4.8684 and 3.9888 Å and the angles 90.00°, 90.00° and 90.00°. Symmetry generates all atoms from Sr at (0.0000, 0.0000, 0.0000), Fe at (0.5000, 0.5000, 0.5000) and Se at (0.0000, 0.5000, 0.5000).

Its formation energy from raw total energies is -0.830 eV/atom. Its density is 5.29 g/cm3. Its crystal system is tetragonal. The excess energy over the best structure of this formula in the dataset comes out at 0.0 meV/atom.

(7)
CaTeSe | GGA-PBEsol | relaxed

The structure belongs to space group I4mm (No. 107); the cell edges are 4.0170, 4.0170 and 10.4105 Å and the angles 90.00°, 90.00° and 90.00°. Symmetry generates all atoms from Ca at (0.0000, 0.0000, 0.0000), Te at (0.0000, 0.0000, 0.6482) and Se at (0.0000, 0.0000, 0.3933).

Its formation energy from raw total energies is -1.016 eV/atom. Its density is 4.88 g/cm3. Its crystal system is tetragonal.

(8)
K3FeO4 | GGA-PBEsol | relaxed

The structure belongs to space group Pnma (No. 62); the cell edges are 7.5734, 8.9503 and 7.8252 Å and the angles 90.00°, 90.00° and 90.00°. Symmetry generates all atoms from K at (0.0380, 0.0356, 0.2193), K at (0.1661, 0.7500, 0.4433), Fe at (0.2243, 0.7500, 0.9904), O at (0.0200, 0.7500, 0.0823), O at (0.1818, 0.0806, 0.5414) and O at (0.2145, 0.7500, 0.7728).

Its formation energy from raw total energies is -1.450 eV/atom. Its density is 2.97 g/cm3. Its crystal system is orthorhombic.

no.,N(E_F) (states/eV/f.u.),E_tot (eV/atom)
1,7.17,-4.238
2,3.39,-6.585
3,3.20,-5.777
4,4.07,-10.983
5,2.40,-4.891
6,2.48,-5.456
7,0.65,-4.186
8,4.36,-5.620